SrHg2Pt: relaxed, GGA-PBE.

The structure in POSCAR format:
```
SrHg2Pt
1.0
3.705 0.000 0.000
0.000 3.705 0.000
0.000 0.000 7.214
Sr Hg Pt
1 2 1
direct
0.000 0.000 0.000
0.000 0.000 0.559
0.500 0.500 0.313
0.500 0.500 0.741
```

## Properties
The value obtained for the magnetic moment is 0.00 μB per formula unit. For the total energy, the calculation gives -2.41 eV per atom. The calculation puts the formation energy at -32 kJ/mol of atoms. Its symmetry is P4mm, No. 99.

=====

SrHg2Pt: relaxed, GGA-PBE.

The structure in POSCAR format:
```
SrHg2Pt
1.0
0.000 3.628 3.628
3.628 0.000 3.628
3.628 3.628 0.000
Sr Hg Pt
1 2 1
direct
0.000 0.000 0.000
0.250 0.250 0.250
0.750 0.750 0.750
0.500 0.500 0.500
```

## Properties
The value obtained for the magnetic moment is 0.00 μB per formula unit. For the total energy, the calculation gives -2.43 eV per atom. The calculation puts the formation energy at -34 kJ/mol of atoms. Its symmetry is Fm-3m, No. 225.

=====

SrHgPt2: relaxed, GGA-PBE.

The structure in POSCAR format:
```
SrHgPt2
1.0
3.094 0.000 0.000
0.000 4.512 0.000
0.000 0.000 5.960
Sr Hg Pt
1 1 2
direct
0.000 0.000 0.000
0.500 0.500 0.305
0.000 0.000 0.508
0.500 0.500 0.768
```

## Properties
The value obtained for the magnetic moment is 0.00 μB per formula unit. For the total energy, the calculation gives -3.73 eV per atom. The calculation puts the formation energy at -21 kJ/mol of atoms. Its symmetry is Pmm2, No. 25.

=====

Sr5Hg2Pt2: relaxed, GGA-PBE.

The structure in POSCAR format:
```
Sr5Hg2Pt2
1.0
8.439 -4.126 0.000
8.439 4.126 0.000
0.000 0.000 8.292
Sr Hg Pt
10 4 4
direct
0.000 0.000 0.000
0.045 0.707 0.669
0.207 0.545 0.169
0.293 0.955 0.669
0.455 0.793 0.169
0.500 0.500 0.500
0.545 0.207 0.831
0.707 0.045 0.331
0.793 0.455 0.831
0.955 0.293 0.331
0.211 0.211 0.000
0.289 0.289 0.500
0.711 0.711 0.500
0.789 0.789 0.000
0.123 0.877 0.375
0.377 0.623 0.875
0.623 0.377 0.125
0.877 0.123 0.625
```

## Properties
The value obtained for the magnetic moment is 0.00 μB per formula unit. For the total energy, the calculation gives -2.99 eV per atom. The calculation puts the formation energy at -62 kJ/mol of atoms. Its symmetry is Cmce, No. 64.

=====

Sr3HgPt8: relaxed, GGA-PBE.

The structure in POSCAR format:
```
Sr3HgPt8
1.0
2.764 1.596 9.006
-2.764 1.596 9.006
0.000 -3.191 9.006
Sr Hg Pt
3 1 8
direct
0.000 0.000 0.000
0.128 0.128 0.128
0.509 0.509 0.509
0.630 0.630 0.630
0.064 0.567 0.567
0.067 0.067 0.566
0.067 0.566 0.067
0.316 0.316 0.316
0.566 0.067 0.067
0.567 0.064 0.567
0.567 0.567 0.064
0.816 0.816 0.816
```

## Properties
The value obtained for the magnetic moment is 0.00 μB per formula unit. For the total energy, the calculation gives -5.19 eV per atom. The calculation puts the formation energy at -69 kJ/mol of atoms. Its symmetry is R3m, No. 160.

=====

SrHgPt3: relaxed, GGA-PBE.

The structure in POSCAR format:
```
SrHgPt3
1.0
5.095 0.000 0.000
0.000 5.095 0.000
0.000 0.000 5.095
Sr Hg Pt
1 1 3
direct
0.000 0.000 0.000
0.500 0.500 0.500
0.000 0.500 0.500
0.500 0.000 0.500
0.500 0.500 0.000
```

## Properties
The value obtained for the magnetic moment is 0.00 μB per formula unit. For the total energy, the calculation gives -3.64 eV per atom. Its relative energy among the computed polymorphs is 0.000 eV/atom. The calculation puts the formation energy at 37 kJ/mol of atoms. Its symmetry is Pm-3m, No. 221.

=====

SrHg2Pt: relaxed, GGA-PBE.

The structure in POSCAR format:
```
SrHg2Pt
1.0
2.425 1.400 5.190
-2.425 1.400 5.190
0.000 -2.800 5.190
Sr Hg Pt
1 2 1
direct
0.000 0.000 0.000
0.213 0.213 0.213
0.449 0.449 0.449
0.799 0.799 0.799
```

## Properties
The value obtained for the magnetic moment is 0.00 μB per formula unit. For the total energy, the calculation gives -2.53 eV per atom. The calculation puts the formation energy at -43 kJ/mol of atoms. Its symmetry is R3m, No. 160.

=====

SrHgPt2: relaxed, GGA-PBE.

The structure in POSCAR format:
```
SrHgPt2
1.0
5.357 -1.905 0.000
5.357 1.905 0.000
-1.966 0.000 4.163
Sr Hg Pt
1 1 2
direct
0.000 0.000 0.000
0.224 0.224 0.724
0.488 0.488 0.488
0.772 0.772 0.272
```

## Properties
The value obtained for the magnetic moment is 0.00 μB per formula unit. For the total energy, the calculation gives -3.85 eV per atom. The calculation puts the formation energy at -32 kJ/mol of atoms. Its symmetry is Cm, No. 8.